Density functional theory data (GGA-PBE) for LiHg6Pb after structural relaxation.

```
LiHg6Pb
1.0
4.552 0.000 0.000
0.000 4.552 0.000
0.000 0.000 9.597
Li Hg Pb
1 6 1
direct
0.000 0.000 0.000
0.000 0.500 0.229
0.000 0.500 0.771
0.500 0.000 0.229
0.500 0.000 0.771
0.500 0.500 0.000
0.500 0.500 0.500
0.000 0.000 0.500
```

Calculated values
Space-group type: P4/mmm (123)

***

Density functional theory data (GGA-PBE) for Tb5CeNd2 after structural relaxation.

```
Tb5CeNd2
1.0
7.170 0.000 0.000
0.000 14.347 0.000
0.000 0.000 5.081
Tb Ce Nd
10 2 4
direct
0.000 0.000 0.000
0.003 0.250 0.000
0.244 0.624 0.500
0.256 0.124 0.500
0.497 0.750 0.000
0.500 0.500 0.000
0.503 0.250 0.000
0.744 0.876 0.500
0.756 0.376 0.500
0.997 0.750 0.000
0.000 0.500 0.000
0.500 0.000 0.000
0.247 0.376 0.500
0.253 0.876 0.500
0.747 0.124 0.500
0.753 0.624 0.500
```

Calculated values
Space-group type: Pbam (55)

***

Calculated ΔH_f (0 K) (kJ/mol of formula units), listed in the same order as above: -54; 34